Computed, not measured: a relaxed structure of CaSi2WO6 at the GGA+U level of DFT.

The space group is C2/c (No. 15) and the conventional cell measures 10.453, 9.221 and 5.161 Å, with angles of 90.00, 100.79 and 90.00 degrees. Symmetry generates all atoms from Ca at (0.000, 0.210, 0.250), Si at (0.203, 0.093, 0.781), W at (0.000, 0.417, 0.750), O at (0.129, 0.239, 0.673), O at (0.138, 0.403, 0.161) and O at (0.149, 0.035, 0.050).

The density of states at the Fermi level is 0.4 states/eV/f.u. For the total DFT energy (no corrections), the calculation gives -7.36 eV/atom.